DFT (PBE) results for a relaxed As2SBrO crystal.

a b c (Å): 4.8805 4.8805 5.0934
angles (deg): 90.00 90.00 90.00
Sites, in units of the cell vectors:
As 0.0000 0.5000 0.0000
As 0.5000 0.0000 0.0000
S 0.0000 0.0000 0.0000
Br 0.0000 0.0000 0.5000
O 0.5000 0.5000 0.5000

Formation energy from raw total energies ... 26.56 kcal/mol of atoms
Total DFT energy (no corrections) ... -2.86 eV/atom
Distance to the lowest polymorph of the same formula ... 0.429 eV/atom
Mass density ... 3.80 g/cm³